1.
The following is a DFT calculation (GGA-PBEsol) of Na2CoP4H16O20 after structural relaxation.

Geometry as POSCAR:
```
Na2CoP4H16O20
1.0
7.144 0.000 -0.054
0.000 10.630 0.000
-2.042 0.000 10.689
H O P Co Na
32 40 8 2 4
direct
0.640 0.946 0.118
0.685 0.337 0.162
0.068 0.711 0.213
0.824 0.592 0.933
0.660 0.403 0.562
0.650 0.910 0.391
0.139 0.959 0.784
0.324 0.908 0.433
0.432 0.211 0.287
0.160 0.097 0.062
0.840 0.903 0.938
0.325 0.876 0.797
0.140 0.554 0.618
0.850 0.410 0.109
0.315 0.663 0.838
0.815 0.837 0.338
0.361 0.459 0.716
0.861 0.041 0.216
0.340 0.597 0.438
0.185 0.163 0.662
0.825 0.624 0.297
0.860 0.446 0.382
0.568 0.789 0.713
0.675 0.124 0.203
0.360 0.054 0.882
0.350 0.090 0.609
0.175 0.376 0.703
0.932 0.289 0.787
0.639 0.541 0.284
0.150 0.590 0.891
0.676 0.092 0.567
0.176 0.408 0.067
0.546 0.471 0.823
0.409 0.147 0.915
0.204 0.858 0.517
0.264 0.941 0.844
0.701 0.815 0.691
0.237 0.013 0.146
0.236 0.441 0.656
0.876 0.747 0.220
0.796 0.142 0.483
0.704 0.642 0.017
0.091 0.647 0.585
0.591 0.853 0.085
0.954 0.971 0.677
0.296 0.358 0.983
0.737 0.487 0.646
0.779 0.873 0.416
0.407 0.664 0.512
0.721 0.373 0.084
0.046 0.029 0.323
0.376 0.753 0.720
0.624 0.247 0.280
0.763 0.987 0.854
0.610 0.044 0.633
0.907 0.836 0.012
0.454 0.529 0.177
0.093 0.164 0.988
0.890 0.544 0.867
0.390 0.956 0.367
0.263 0.513 0.354
0.279 0.627 0.916
0.736 0.059 0.156
0.221 0.127 0.584
0.299 0.185 0.309
0.764 0.559 0.344
0.201 0.685 0.191
0.909 0.353 0.415
0.110 0.456 0.133
0.593 0.336 0.488
0.799 0.315 0.809
0.124 0.253 0.780
0.739 0.456 0.783
0.261 0.544 0.217
0.268 0.734 0.583
0.761 0.956 0.717
0.768 0.766 0.083
0.232 0.234 0.917
0.732 0.266 0.417
0.239 0.044 0.283
0.000 0.000 0.500
0.500 0.500 0.000
0.246 0.326 0.463
0.254 0.826 0.037
0.754 0.674 0.537
0.746 0.174 0.963
```

=====

2.
The following is a DFT calculation (GGA-PBEsol) of NaCo3P3H2O12 after structural relaxation.

Geometry as POSCAR:
```
NaCo3P3H2O12
1.0
-5.436 -3.337 -1.099
4.158 -0.007 -7.256
5.396 -5.490 3.268
O H Co P Na
24 4 6 6 2
direct
0.914 0.839 0.849
0.537 0.207 0.725
0.463 0.793 0.275
0.586 0.151 0.161
0.770 0.502 0.718
0.151 0.271 0.453
0.378 0.332 0.984
0.730 0.282 0.498
0.037 0.725 0.207
0.849 0.729 0.547
0.297 0.034 0.388
0.230 0.498 0.282
0.878 0.984 0.332
0.414 0.849 0.839
0.203 0.612 0.966
0.797 0.388 0.034
0.651 0.453 0.271
0.086 0.161 0.151
0.622 0.668 0.016
0.703 0.966 0.612
0.270 0.718 0.502
0.122 0.016 0.668
0.349 0.547 0.729
0.963 0.275 0.793
0.689 0.385 0.384
0.311 0.615 0.616
0.189 0.384 0.385
0.811 0.616 0.615
0.390 0.959 0.616
0.750 0.720 0.280
0.890 0.616 0.959
0.610 0.041 0.384
0.110 0.384 0.041
0.250 0.280 0.720
0.250 0.685 0.315
0.901 0.890 0.672
0.099 0.110 0.328
0.401 0.672 0.890
0.750 0.315 0.685
0.599 0.328 0.110
0.250 0.959 0.041
0.750 0.041 0.959
```

=====

3.
The following is a DFT calculation (GGA-PBEsol) of Na2CoH8S2O12 after structural relaxation.

Geometry as POSCAR:
```
Na2CoH8S2O12
1.0
-0.137 -0.107 -5.464
-2.010 -7.954 0.205
-10.440 2.693 2.087
S H Na O Co
4 16 4 24 2
direct
0.880 0.786 0.137
0.120 0.214 0.863
0.120 0.286 0.363
0.880 0.714 0.637
0.169 0.698 0.863
0.737 0.559 0.819
0.727 0.137 0.345
0.737 0.941 0.319
0.263 0.441 0.181
0.273 0.637 0.155
0.742 0.274 0.507
0.273 0.863 0.655
0.258 0.726 0.493
0.742 0.226 0.007
0.263 0.059 0.681
0.169 0.802 0.363
0.831 0.198 0.637
0.831 0.302 0.137
0.258 0.774 0.993
0.727 0.363 0.845
0.615 0.925 0.862
0.615 0.575 0.362
0.385 0.425 0.638
0.385 0.075 0.138
0.183 0.126 0.423
0.719 0.583 0.578
0.678 0.283 0.075
0.678 0.217 0.575
0.137 0.276 0.228
0.853 0.179 0.871
0.147 0.679 0.629
0.627 0.033 0.338
0.863 0.724 0.772
0.183 0.374 0.923
0.719 0.917 0.078
0.322 0.717 0.925
0.817 0.626 0.077
0.817 0.874 0.577
0.373 0.967 0.662
0.281 0.417 0.422
0.373 0.533 0.162
0.281 0.083 0.922
0.863 0.776 0.272
0.627 0.467 0.838
0.322 0.783 0.425
0.147 0.821 0.129
0.137 0.224 0.728
0.853 0.321 0.371
0.500 0.000 0.500
0.500 0.500 0.000
```

=====

4.
The following is a DFT calculation (GGA-PBEsol) of NaCo2H3Se2O10 after structural relaxation.

Geometry as POSCAR:
```
NaCo2H3Se2O10
1.0
5.461 0.126 0.014
1.841 5.143 0.014
2.678 1.932 6.747
H O Se Co Na
3 10 2 2 1
direct
0.492 0.492 0.005
0.310 0.310 0.230
0.693 0.693 0.767
0.749 0.192 0.749
0.817 0.261 0.246
0.653 0.653 0.914
0.261 0.817 0.246
0.825 0.825 0.135
0.351 0.351 0.083
0.242 0.242 0.476
0.767 0.767 0.517
0.192 0.749 0.749
0.187 0.187 0.857
0.918 0.918 0.290
0.092 0.092 0.704
0.999 0.508 0.996
0.508 0.999 0.996
0.504 0.504 0.499
```

=====

5.
The following is a DFT calculation (GGA-PBEsol) of NbCo3H after structural relaxation.

Geometry as POSCAR:
```
NbCo3H
1.0
4.173 0.000 0.000
0.000 5.165 0.000
0.000 -2.583 4.473
Co Nb H
6 2 2
direct
0.750 0.164 0.836
0.250 0.836 0.164
0.250 0.836 0.672
0.750 0.164 0.328
0.250 0.328 0.164
0.750 0.672 0.836
0.250 0.333 0.667
0.750 0.667 0.333
0.500 0.000 0.000
0.000 0.000 0.000
```

=====

6.
The following is a DFT calculation (GGA-PBEsol) of Nb2CoH2 after structural relaxation.

Geometry as POSCAR:
```
Nb2CoH2
1.0
2.885 0.000 0.000
0.000 2.885 0.000
-1.442 -1.442 6.083
Co Nb H
1 2 2
direct
0.000 0.000 0.000
0.639 0.639 0.278
0.361 0.361 0.722
0.250 0.750 0.500
0.750 0.250 0.500
```

=====

7.
The following is a DFT calculation (GGA-PBEsol) of NbCo3H after structural relaxation.

Geometry as POSCAR:
```
NbCo3H
1.0
-4.254 0.240 -1.143
-0.799 -3.746 2.189
-0.852 2.318 3.655
H Co Nb
1 3 1
direct
0.500 0.500 0.500
0.000 0.500 0.000
0.500 0.000 0.000
0.000 0.000 0.500
0.000 0.000 0.000
```

=====

8.
The following is a DFT calculation (GGA-PBEsol) of NbCoH3 after structural relaxation.

Geometry as POSCAR:
```
NbCoH3
1.0
3.243 0.000 0.000
0.000 3.243 0.000
0.000 0.000 3.243
Co H Nb
1 3 1
direct
0.000 0.000 0.000
0.500 0.000 0.000
0.000 0.500 0.000
0.000 0.000 0.500
0.500 0.500 0.500
```

=====

How do the records compare in total DFT energy (no corrections)? In the order shown, they have -5.984, -6.941, -5.661, -5.724, -7.691, -7.358, -5.268, -5.842 eV per atom.